No. 1
VASP calculation (PBE-GGA) on Er3HgPd4 after structural relaxation.

Geometry as CIF:
```
data_Er3HgPd4
_chemical_formula_sum 'Er6 Hg2 Pd8'
_symmetry_space_group_name_H-M 'P 1'
_symmetry_Int_Tables_number 1
_cell_length_a 9.6613
_cell_length_b 6.9197
_cell_length_c 4.8304
_cell_angle_alpha 90.00
_cell_angle_beta 90.00
_cell_angle_gamma 90.00
loop_
_symmetry_equiv_pos_as_xyz
'x,y,z'
loop_
_atom_site_label
_atom_site_type_symbol
_atom_site_fract_x
_atom_site_fract_y
_atom_site_fract_z
Er1 Er 0.0000 0.0000 0.0000
Er2 Er 0.2500 0.0000 0.4994
Er3 Er 0.2500 0.5000 0.4990
Er4 Er 0.5000 0.0000 0.0000
Er5 Er 0.7500 0.0000 0.5006
Er6 Er 0.7500 0.5000 0.5010
Hg1 Hg 0.0000 0.5000 0.0000
Hg2 Hg 0.5000 0.5000 0.0000
Pd1 Pd 0.0000 0.2417 0.5000
Pd2 Pd 0.0000 0.7583 0.5000
Pd3 Pd 0.2500 0.2417 0.9988
Pd4 Pd 0.2500 0.7583 0.9988
Pd5 Pd 0.5000 0.2417 0.5000
Pd6 Pd 0.5000 0.7583 0.5000
Pd7 Pd 0.7500 0.2417 0.0012
Pd8 Pd 0.7500 0.7583 0.0012
```

ρ: 11.60 g cm⁻³
Total moment: 0.000 μB per atom
Space-group type: Pmma (51)
Crystal system: orthorhombic
E_form: -0.8044 eV per atom

=====

No. 2
VASP calculation (PBE-GGA) on Er4HgPd5 after structural relaxation.

Geometry as CIF:
```
data_Er4HgPd5
_chemical_formula_sum 'Er4 Hg1 Pd5'
_symmetry_space_group_name_H-M 'P 1'
_symmetry_Int_Tables_number 1
_cell_length_a 3.4939
_cell_length_b 3.4939
_cell_length_c 16.7594
_cell_angle_alpha 90.00
_cell_angle_beta 90.00
_cell_angle_gamma 90.00
loop_
_symmetry_equiv_pos_as_xyz
'x,y,z'
loop_
_atom_site_label
_atom_site_type_symbol
_atom_site_fract_x
_atom_site_fract_y
_atom_site_fract_z
Er1 Er 0.0000 0.0000 0.1037
Er2 Er 0.0000 0.0000 0.3126
Er3 Er 0.0000 0.0000 0.6874
Er4 Er 0.0000 0.0000 0.8963
Hg1 Hg 0.0000 0.0000 0.5000
Pd1 Pd 0.5000 0.5000 0.0000
Pd2 Pd 0.5000 0.5000 0.2095
Pd3 Pd 0.5000 0.5000 0.4054
Pd4 Pd 0.5000 0.5000 0.5946
Pd5 Pd 0.5000 0.5000 0.7905
```

ρ: 11.38 g cm⁻³
Total moment: 0.000 μB per atom
Space-group type: P4/mmm (123)
Crystal system: tetragonal
E_form: -0.8092 eV per atom